# Pm3Dy2Tl (PBE-GGA, optimized geometry)
data_Pm3Dy2Tl
_space_group_name_H-M_alt 'P 1'
_space_group_IT_number 1
_cell_length_a 9.326
_cell_length_b 9.326
_cell_length_c 6.512
_cell_angle_alpha 98.47
_cell_angle_beta 98.47
_cell_angle_gamma 43.08
loop_
_space_group_symop_operation_xyz
'x,y,z'
loop_
_atom_site_label
_atom_site_fract_x
_atom_site_fract_y
_atom_site_fract_z
Pm1 0.052 0.285 0.043
Pm2 0.230 0.770 0.750
Pm3 0.285 0.052 0.543
Pm4 0.715 0.948 0.457
Pm5 0.770 0.230 0.250
Pm6 0.948 0.715 0.957
Dy1 0.230 0.446 0.427
Dy2 0.446 0.230 0.927
Dy3 0.554 0.770 0.073
Dy4 0.770 0.554 0.573
Tl1 0.280 0.720 0.250
Tl2 0.720 0.280 0.750
# Relative energy among the computed polymorphs   39.8 meV/atom
# Electronic total energy   -52.5 eV for the cell shown
# Density of states at the Fermi level   1.004 states/eV/atom
# Formation energy from the elements   -70 meV per atom


# Tm2Ga3Ir (PBE-GGA, optimized geometry)
data_Tm2Ga3Ir
_space_group_name_H-M_alt 'P 1'
_space_group_IT_number 1
_cell_length_a 5.573
_cell_length_b 5.573
_cell_length_c 6.980
_cell_angle_alpha 127.14
_cell_angle_beta 127.14
_cell_angle_gamma 45.21
loop_
_space_group_symop_operation_xyz
'x,y,z'
loop_
_atom_site_label
_atom_site_fract_x
_atom_site_fract_y
_atom_site_fract_z
Tm1 0.000 0.000 0.000
Tm2 0.097 0.097 0.611
Ga1 0.384 0.384 0.219
Ga2 0.707 0.707 0.006
Ga3 0.716 0.716 0.418
Ir1 0.390 0.390 0.618
# Electronic total energy   -31.4 eV for the cell shown
# Density of states at the Fermi level   0.548 states/eV/atom
# Formation energy from the elements   -747 meV per atom


# Mg2NbTc (PBE-GGA, optimized geometry)
data_Mg2NbTc
_space_group_name_H-M_alt 'P 1'
_space_group_IT_number 1
_cell_length_a 5.922
_cell_length_b 5.922
_cell_length_c 5.922
_cell_angle_alpha 101.54
_cell_angle_beta 101.54
_cell_angle_gamma 126.85
loop_
_space_group_symop_operation_xyz
'x,y,z'
loop_
_atom_site_label
_atom_site_fract_x
_atom_site_fract_y
_atom_site_fract_z
Mg1 0.105 0.625 0.980
Mg2 0.375 0.355 0.480
Mg3 0.645 0.125 0.020
Mg4 0.875 0.895 0.520
Nb1 0.250 0.750 0.500
Nb2 0.500 0.500 0.000
Tc1 0.000 0.000 0.000
Tc2 0.750 0.250 0.500
# Relative energy among the computed polymorphs   193.2 meV/atom
# Electronic total energy   -41.2 eV for the cell shown
# Density of states at the Fermi level   1.130 states/eV/atom
# Formation energy from the elements   752 meV per atom


Which of these has the lowest density of states at the Fermi level?
Tm2Ga3Ir


Among the records above, which one has the lowest formation energy from the elements?
Tm2Ga3Ir


Look up the formation energy from the elements of the first one.
-70 meV per atom